No. 1
## TaCd2Pt (PBE-GGA)

Data for an optimized crystal structure of TaCd2Pt.

abc: 4.6975 4.6975 4.6975
angles: 60.00 60.00 60.00
Positions (direct):
Cd1 0.7500 0.7500 0.7500
Cd2 0.0000 0.0000 0.0000
Ta1 0.2500 0.2500 0.2500
Pt1 0.5000 0.5000 0.5000

Computed properties:
V	18.32	Å³/atom
formation energy from the elements	0.048	eV per atom
offset from the most stable computed form	21.8	kJ/mol of atoms
crystal system	cubic

***

No. 2
## Ta4CdPt (PBE-GGA)

Data for an optimized crystal structure of Ta4CdPt.

abc: 5.4343 5.4343 5.4343
angles: 60.00 60.00 60.00
Positions (direct):
Ta1 0.3759 0.8722 0.3759
Ta2 0.3759 0.3759 0.8722
Cd1 0.7500 0.7500 0.7500
Ta3 0.3759 0.3759 0.3759
Ta4 0.8722 0.3759 0.3759
Pt1 0.0000 0.0000 0.0000

Computed properties:
V	18.91	Å³/atom
formation energy from the elements	0.294	eV per atom
crystal system	cubic

***

No. 3
## TaCd2Pt (PBE-GGA)

Data for an optimized crystal structure of TaCd2Pt.

abc: 2.9373 2.9373 8.5163
angles: 90.00 90.00 89.87
Positions (direct):
Cd1 0.0000 0.0000 0.0151
Ta1 0.5000 0.5000 0.7500
Cd2 0.0000 0.0000 0.4849
Pt1 0.5000 0.5000 0.2500

Computed properties:
V	18.37	Å³/atom
formation energy from the elements	0.056	eV per atom
offset from the most stable computed form	22.6	kJ/mol of atoms
crystal system	orthorhombic

***

No. 4
## TaCdPt2 (PBE-GGA)

Data for an optimized crystal structure of TaCdPt2.

abc: 2.9003 2.8983 8.6243
angles: 70.38 90.00 90.00
Positions (direct):
Pt1 0.0000 0.5150 0.4851
Pt2 0.0000 0.9850 0.0149
Ta1 0.5000 0.2500 0.2500
Cd1 0.5000 0.7500 0.7500

Computed properties:
V	17.07	Å³/atom
formation energy from the elements	-0.569	eV per atom
crystal system	tetragonal

***

No. 5
## TaCdPt2 (PBE-GGA)

Data for an optimized crystal structure of TaCdPt2.

abc: 5.0712 5.0712 5.0712
angles: 133.32 133.31 68.15
Positions (direct):
Pt1 0.9999 0.9999 0.0000
Ta1 0.4999 0.4999 0.0000
Cd1 0.2500 0.7500 0.5000
Pt2 0.7499 0.2499 0.5000

Computed properties:
V	16.96	Å³/atom
formation energy from the elements	-0.297	eV per atom
crystal system	tetragonal

***

No. 6
## TaCd2Pt9 (PBE-GGA)

Data for an optimized crystal structure of TaCd2Pt9.

abc: 4.0136 4.0136 12.1381
angles: 90.00 90.00 90.00
Positions (direct):
Pt1 0.5000 0.5000 0.3292
Pt2 0.5000 0.5000 0.6708
Pt3 0.0000 0.5000 0.5000
Cd1 0.0000 0.0000 0.6667
Pt4 0.0000 0.5000 0.1580
Pt5 0.5000 0.0000 0.1580
Pt6 0.5000 0.0000 0.8420
Ta1 0.0000 0.0000 0.0000
Pt7 0.0000 0.5000 0.8420
Pt8 0.5000 0.5000 0.0000
Pt9 0.5000 0.0000 0.5000
Cd2 0.0000 0.0000 0.3333

Computed properties:
V	16.29	Å³/atom
formation energy from the elements	-0.423	eV per atom
crystal system	tetragonal

***

No. 7
## Ta2CdPt3 (PBE-GGA)

Data for an optimized crystal structure of Ta2CdPt3.

abc: 2.8727 2.8727 12.2575
angles: 90.00 90.00 90.00
Positions (direct):
Cd1 0.5000 0.5000 0.5000
Ta1 0.5000 0.5000 0.8334
Ta2 0.5000 0.5000 0.1666
Pt1 0.0000 0.0000 0.3224
Pt2 0.0000 0.0000 0.0000
Pt3 0.0000 0.0000 0.6776

Computed properties:
V	16.86	Å³/atom
formation energy from the elements	-0.598	eV per atom
crystal system	tetragonal

***

No. 8
## TaCd2Pt (PBE-GGA)

Data for an optimized crystal structure of TaCd2Pt.

abc: 10.2631 10.2631 10.2631
angles: 16.51 16.51 16.51
Positions (direct):
Ta1 0.7571 0.7571 0.7571
Pt1 0.4948 0.4948 0.4948
Cd1 0.2433 0.2433 0.2433
Cd2 0.0047 0.0047 0.0047

Computed properties:
V	19.04	Å³/atom
formation energy from the elements	-0.086	eV per atom
offset from the most stable computed form	8.8	kJ/mol of atoms
crystal system	trigonal

***

No. 9
## TaCd2Pt (PBE-GGA)

Data for an optimized crystal structure of TaCd2Pt.

abc: 5.2748 5.2748 5.2748
angles: 134.06 134.06 66.99
Last column: magnetic moment on the atom in μB.
Positions (direct):
Pt1 0.2500 0.7500 0.5000  0.14
Ta1 0.7500 0.2500 0.5000  0.78
Cd1 0.0000 0.0000 0.0000  0.04
Cd2 0.5000 0.5000 0.0000  0.04

Computed properties:
V	18.64	Å³/atom
formation energy from the elements	0.212	eV per atom
offset from the most stable computed form	37.6	kJ/mol of atoms
crystal system	tetragonal

***

No. 10
## Ta2CdPt2 (PBE-GGA)

Data for an optimized crystal structure of Ta2CdPt2.

abc: 7.9278 7.9278 2.8696
angles: 90.00 90.00 90.00
Positions (direct):
Pt1 0.3735 0.8735 0.0000
Pt2 0.8735 0.6265 0.0000
Ta1 0.1685 0.6685 0.5000
Pt3 0.6265 0.1265 0.0000
Cd1 0.0000 0.0000 0.0000
Ta2 0.3315 0.1685 0.5000
Ta3 0.8315 0.3315 0.5000
Pt4 0.1265 0.3735 0.0000
Cd2 0.5000 0.5000 0.0000
Ta4 0.6685 0.8315 0.5000

Computed properties:
V	18.04	Å³/atom
formation energy from the elements	-0.379	eV per atom
offset from the most stable computed form	0.0	kJ/mol of atoms
crystal system	tetragonal

***

No. 11
## TaCdPt2 (PBE-GGA)

Data for an optimized crystal structure of TaCdPt2.

abc: 2.8897 4.2412 5.6513
angles: 90.00 90.00 90.00
Positions (direct):
Pt1 0.0000 0.0000 0.9825
Ta1 0.0000 0.0000 0.4648
Pt2 0.5000 0.5000 0.2780
Cd1 0.5000 0.5000 0.7747

Computed properties:
V	17.32	Å³/atom
formation energy from the elements	-0.269	eV per atom
crystal system	orthorhombic

***

No. 12
## TaCdPt2 (PBE-GGA)

Data for an optimized crystal structure of TaCdPt2.

abc: 4.1252 4.1268 4.0169
angles: 90.00 90.00 90.00
Positions (direct):
Pt1 0.5000 0.5000 0.0000
Pt2 0.0000 0.0000 0.0000
Ta1 0.5000 0.0000 0.5000
Cd1 0.0000 0.5000 0.5000

Computed properties:
V	17.10	Å³/atom
formation energy from the elements	-0.143	eV per atom
crystal system	tetragonal

***

The lowest formation energy from the elements belongs to which entry?
Ta2CdPt3

***

Which formula does entry 6 have?
TaCd2Pt9

***

Which value of V does entry 4 give?
17.07 Å³/atom

***

The highest formation energy from the elements belongs to which entry?
Ta4CdPt